Entry 1:
# PBE CeCdPdPb, optimized geometry
data_CeCdPdPb
_symmetry_space_group_name_H-M 'F -4 3 m'
_symmetry_Int_Tables_number 216
_symmetry_space_group_name_Hall 'F -4 2 3'
_cell_length_a 7.2249
_cell_length_b 7.2249
_cell_length_c 7.2249
_cell_angle_alpha 90.00
_cell_angle_beta 90.00
_cell_angle_gamma 90.00
loop_
_atom_site_label
_atom_site_type_symbol
_atom_site_fract_x
_atom_site_fract_y
_atom_site_fract_z
Ce1 Ce 0.0000 0.0000 0.0000
Cd1 Cd 0.2500 0.2500 0.7500
Pd1 Pd 0.2500 0.2500 0.2500
Pb1 Pb 0.0000 0.0000 0.5000
# Calculated formation energy in eV per atom: -0.371
# Theoretical density in Mg/m³: 10.0
# Energy in eV per atom: -4.31

***

Entry 2:
# PBE Ce2PrCd2Pb2, optimized geometry
data_Ce2PrCd2Pb2
_symmetry_space_group_name_H-M 'R -3 m'
_symmetry_Int_Tables_number 166
_symmetry_space_group_name_Hall '-R 3 2"'
_cell_length_a 4.8953
_cell_length_b 4.8953
_cell_length_c 28.6610
_cell_angle_alpha 90.00
_cell_angle_beta 90.00
_cell_angle_gamma 120.00
loop_
_atom_site_label
_atom_site_type_symbol
_atom_site_fract_x
_atom_site_fract_y
_atom_site_fract_z
Ce1 Ce 0.0000 0.0000 0.1479
Pr1 Pr 0.0000 0.0000 0.0000
Cd1 Cd 0.0000 0.0000 0.4289
Pb1 Pb 0.0000 0.0000 0.2718
# Calculated formation energy in eV per atom: -0.182
# Theoretical density in Mg/m³: 8.9
# Energy in eV per atom: -3.88

***

Entry 3:
# PBE CeCdPtPb, optimized geometry
data_CeCdPtPb
_symmetry_space_group_name_H-M 'F -4 3 m'
_symmetry_Int_Tables_number 216
_symmetry_space_group_name_Hall 'F -4 2 3'
_cell_length_a 7.2113
_cell_length_b 7.2113
_cell_length_c 7.2113
_cell_angle_alpha 90.00
_cell_angle_beta 90.00
_cell_angle_gamma 90.00
loop_
_atom_site_label
_atom_site_type_symbol
_atom_site_fract_x
_atom_site_fract_y
_atom_site_fract_z
Ce1 Ce 0.0000 0.0000 0.0000
Cd1 Cd 0.2500 0.2500 0.2500
Pt1 Pt 0.2500 0.2500 0.7500
Pb1 Pb 0.0000 0.0000 0.5000
# Calculated formation energy in eV per atom: -0.437
# Theoretical density in Mg/m³: 11.6
# Energy in eV per atom: -4.59

***

Entry 4:
# PBE CeScCdPb, optimized geometry
data_CeScCdPb
_symmetry_space_group_name_H-M 'F -4 3 m'
_symmetry_Int_Tables_number 216
_symmetry_space_group_name_Hall 'F -4 2 3'
_cell_length_a 7.4868
_cell_length_b 7.4868
_cell_length_c 7.4868
_cell_angle_alpha 90.00
_cell_angle_beta 90.00
_cell_angle_gamma 90.00
loop_
_atom_site_label
_atom_site_type_symbol
_atom_site_fract_x
_atom_site_fract_y
_atom_site_fract_z
Ce1 Ce 0.0000 0.0000 0.0000
Sc1 Sc 0.0000 0.0000 0.5000
Cd1 Cd 0.2500 0.2500 0.2500
Pb1 Pb 0.2500 0.2500 0.7500
# Calculated formation energy in eV per atom: -0.280
# Theoretical density in Mg/m³: 8.0
# Energy in eV per atom: -4.50

***

Entry 5:
# PBE CeSmCdPb, optimized geometry
data_CeSmCdPb
_symmetry_space_group_name_H-M 'I -4 m 2'
_symmetry_Int_Tables_number 119
_symmetry_space_group_name_Hall 'I -4 -2'
_cell_length_a 5.0551
_cell_length_b 5.0551
_cell_length_c 8.9211
_cell_angle_alpha 90.00
_cell_angle_beta 90.00
_cell_angle_gamma 90.00
loop_
_atom_site_label
_atom_site_type_symbol
_atom_site_fract_x
_atom_site_fract_y
_atom_site_fract_z
Ce1 Ce 0.0000 0.0000 0.0000
Sm1 Sm 0.0000 0.0000 0.5000
Cd1 Cd 0.0000 0.5000 0.2500
Pb1 Pb 0.0000 0.5000 0.7500
# Calculated formation energy in eV per atom: -0.343
# E above lowest polymorph in eV/atom: 0.000
# Theoretical density in Mg/m³: 8.9
# Energy in eV per atom: -4.16

***

Entry 6:
# PBE CeSmCdPb, optimized geometry
data_CeSmCdPb
_symmetry_space_group_name_H-M 'F -4 3 m'
_symmetry_Int_Tables_number 216
_symmetry_space_group_name_Hall 'F -4 2 3'
_cell_length_a 7.7308
_cell_length_b 7.7308
_cell_length_c 7.7308
_cell_angle_alpha 90.00
_cell_angle_beta 90.00
_cell_angle_gamma 90.00
loop_
_atom_site_label
_atom_site_type_symbol
_atom_site_fract_x
_atom_site_fract_y
_atom_site_fract_z
Ce1 Ce 0.0000 0.0000 0.0000
Sm1 Sm 0.0000 0.0000 0.5000
Cd1 Cd 0.2500 0.2500 0.7500
Pb1 Pb 0.2500 0.2500 0.2500
# Calculated formation energy in eV per atom: -0.339
# E above lowest polymorph in eV/atom: 0.004
# Theoretical density in Mg/m³: 8.8
# Energy in eV per atom: -4.16

***

Entry 7:
# PBE CeCdSnPb, optimized geometry
data_CeCdSnPb
_symmetry_space_group_name_H-M 'P m m m'
_symmetry_Int_Tables_number 47
_cell_length_a 4.5395
_cell_length_b 4.8305
_cell_length_c 4.8702
_cell_angle_alpha 90.00
_cell_angle_beta 90.00
_cell_angle_gamma 90.00
loop_
_symmetry_equiv_pos_as_xyz
'x,y,z'
'-x,-y,-z'
'-x,-y,z'
'x,y,-z'
'x,-y,-z'
'-x,y,z'
'-x,y,-z'
'x,-y,z'
loop_
_atom_site_label
_atom_site_type_symbol
_atom_site_fract_x
_atom_site_fract_y
_atom_site_fract_z
Ce1 Ce 0.0000 0.0000 0.0000
Cd1 Cd 0.0000 0.5000 0.5000
Sn1 Sn 0.5000 0.5000 0.0000
Pb1 Pb 0.5000 0.0000 0.5000
# Calculated formation energy in eV per atom: -0.412
# Theoretical density in Mg/m³: 9.0
# Energy in eV per atom: -4.05

***

Entry 8:
# PBE SrCeCdPb, optimized geometry
data_SrCeCdPb
_symmetry_space_group_name_H-M 'F -4 3 m'
_symmetry_Int_Tables_number 216
_symmetry_space_group_name_Hall 'F -4 2 3'
_cell_length_a 7.9740
_cell_length_b 7.9740
_cell_length_c 7.9740
_cell_angle_alpha 90.00
_cell_angle_beta 90.00
_cell_angle_gamma 90.00
loop_
_atom_site_label
_atom_site_type_symbol
_atom_site_fract_x
_atom_site_fract_y
_atom_site_fract_z
Sr1 Sr 0.0000 0.0000 0.0000
Ce1 Ce 0.0000 0.0000 0.5000
Cd1 Cd 0.2500 0.2500 0.2500
Pb1 Pb 0.2500 0.2500 0.7500
# Calculated formation energy in eV per atom: -0.320
# Theoretical density in Mg/m³: 7.2
# Energy in eV per atom: -3.38

***

Entry 9:
# PBE CeThCdPb, optimized geometry
data_CeThCdPb
_symmetry_space_group_name_H-M 'A m m 2'
_symmetry_Int_Tables_number 38
_cell_length_a 5.8428
_cell_length_b 3.3725
_cell_length_c 12.1551
_cell_angle_alpha 90.00
_cell_angle_beta 90.00
_cell_angle_gamma 90.00
loop_
_symmetry_equiv_pos_as_xyz
'x,y,z'
'-x,-y,z'
'-x,y,z'
'x,-y,z'
'x,y+1/2,z+1/2'
'-x,-y+1/2,z+1/2'
'-x,y+1/2,z+1/2'
'x,-y+1/2,z+1/2'
loop_
_atom_site_label
_atom_site_type_symbol
_atom_site_fract_x
_atom_site_fract_y
_atom_site_fract_z
Ce1 Ce 0.0000 0.0000 0.0000
Th1 Th 0.0000 0.0000 0.7293
Cd1 Cd 0.5000 0.0000 0.8577
Pb1 Pb 0.5000 0.0000 0.5898
# Calculated formation energy in eV per atom: 0.078
# E above lowest polymorph in eV/atom: 0.255
# Theoretical density in Mg/m³: 9.6
# Energy in eV per atom: -4.42

***

Entry 10:
# PBE CeThCdPb, optimized geometry
data_CeThCdPb
_symmetry_space_group_name_H-M 'F -4 3 m'
_symmetry_Int_Tables_number 216
_symmetry_space_group_name_Hall 'F -4 2 3'
_cell_length_a 7.7710
_cell_length_b 7.7710
_cell_length_c 7.7710
_cell_angle_alpha 90.00
_cell_angle_beta 90.00
_cell_angle_gamma 90.00
loop_
_atom_site_label
_atom_site_type_symbol
_atom_site_fract_x
_atom_site_fract_y
_atom_site_fract_z
Ce1 Ce 0.0000 0.0000 0.0000
Th1 Th 0.0000 0.0000 0.5000
Cd1 Cd 0.2500 0.2500 0.2500
Pb1 Pb 0.2500 0.2500 0.7500
# Calculated formation energy in eV per atom: -0.177
# E above lowest polymorph in eV/atom: 0.000
# Theoretical density in Mg/m³: 9.8
# Energy in eV per atom: -4.67

***

Entry 11:
# PBE CeTlCdPb, optimized geometry
data_CeTlCdPb
_symmetry_space_group_name_H-M 'F -4 3 m'
_symmetry_Int_Tables_number 216
_symmetry_space_group_name_Hall 'F -4 2 3'
_cell_length_a 7.6308
_cell_length_b 7.6308
_cell_length_c 7.6308
_cell_angle_alpha 90.00
_cell_angle_beta 90.00
_cell_angle_gamma 90.00
loop_
_atom_site_label
_atom_site_type_symbol
_atom_site_fract_x
_atom_site_fract_y
_atom_site_fract_z
Ce1 Ce 0.0000 0.0000 0.0000
Tl1 Tl 0.2500 0.2500 0.2500
Cd1 Cd 0.0000 0.0000 0.5000
Pb1 Pb 0.2500 0.2500 0.7500
# Calculated formation energy in eV per atom: -0.157
# E above lowest polymorph in eV/atom: 0.136
# Theoretical density in Mg/m³: 9.9
# Energy in eV per atom: -3.39

***

Entry 12:
# PBE CeTlCdPb, optimized geometry
data_CeTlCdPb
_symmetry_space_group_name_H-M 'P m m m'
_symmetry_Int_Tables_number 47
_cell_length_a 4.6112
_cell_length_b 4.7768
_cell_length_c 4.9841
_cell_angle_alpha 90.00
_cell_angle_beta 90.00
_cell_angle_gamma 90.00
loop_
_symmetry_equiv_pos_as_xyz
'x,y,z'
'-x,-y,-z'
'-x,-y,z'
'x,y,-z'
'x,-y,-z'
'-x,y,z'
'-x,y,-z'
'x,-y,z'
loop_
_atom_site_label
_atom_site_type_symbol
_atom_site_fract_x
_atom_site_fract_y
_atom_site_fract_z
Ce1 Ce 0.0000 0.0000 0.0000
Tl1 Tl 0.5000 0.0000 0.5000
Cd1 Cd 0.0000 0.5000 0.5000
Pb1 Pb 0.5000 0.5000 0.0000
# Calculated formation energy in eV per atom: -0.293
# E above lowest polymorph in eV/atom: 0.000
# Theoretical density in Mg/m³: 10.0
# Energy in eV per atom: -3.52